Entry 1:
Density functional theory data (PBE) for a geometry-optimized Pm3Pr6Y2 structure.

Calculated formation energy = 0.011 eV per atom
Offset from the most stable computed form = 0 meV/atom

a = 3.6742 Å, b = 3.6742 Å, c = 98.7741 Å
α = 90.00°, β = 90.00°, γ = 120.00°
Space group R-3m (No. 166, hexagonal axes)
Unique sites:
1 Pm 0.0000 0.0000 0.0000 (multiplicity 3)
2 Pm 0.0000 0.0000 0.2725 (multiplicity 6)
3 Pr 0.0000 0.0000 0.0913 (multiplicity 6)
4 Pr 0.0000 0.0000 0.1822 (multiplicity 6)
5 Pr 0.0000 0.0000 0.3638 (multiplicity 6)
6 Y 0.0000 0.0000 0.4545 (multiplicity 6)

***

Entry 2:
Density functional theory data (PBE) for a geometry-optimized Pm9PrY2 structure.

Calculated formation energy = 0.016 eV per atom

a = 5.152 Å, b = 5.152 Å, c = 15.453 Å
α = 90.00°, β = 90.00°, γ = 90.00°
Space group P4/mmm (No. 123)
Unique sites:
1 Pm 0.000 0.000 0.000 (multiplicity 1)
2 Pm 0.000 0.000 0.335 (multiplicity 2)
3 Pm 0.000 0.500 0.168 (multiplicity 4)
4 Pm 0.000 0.500 0.500 (multiplicity 2)
5 Pr 0.500 0.500 0.000 (multiplicity 1)
6 Y 0.500 0.500 0.334 (multiplicity 2)

***

Entry 3:
Density functional theory data (PBE) for a geometry-optimized Pm3Pr6Y2 structure.

Calculated formation energy = 0.275 eV per atom
Offset from the most stable computed form = 265 meV/atom

a = 4.820 Å, b = 4.820 Å, c = 34.656 Å
α = 90.00°, β = 90.00°, γ = 90.00°
Space group I4/mmm (No. 139)
Unique sites:
1 Pm 0.000 0.000 0.000 (multiplicity 2)
2 Pm 0.000 0.000 0.195 (multiplicity 4)
3 Pr 0.000 0.000 0.294 (multiplicity 4)
4 Pr 0.000 0.500 0.120 (multiplicity 8)
5 Y 0.000 0.000 0.455 (multiplicity 4)

***

Entry 4:
Density functional theory data (PBE) for a geometry-optimized Pm7PrY3 structure.

Calculated formation energy = 0.123 eV per atom
Offset from the most stable computed form = 0 meV/atom

a = 6.604 Å, b = 6.793 Å, c = 8.800 Å
α = 99.88°, β = 98.94°, γ = 95.87°
Space group P-1 (No. 2)
Unique sites:
1 Pm 0.000 0.000 0.000 (multiplicity 1)
2 Pm 0.055 0.710 0.642 (multiplicity 2)
3 Pm 0.218 0.224 0.710 (multiplicity 2)
4 Pm 0.484 0.738 0.915 (multiplicity 2)
5 Pr 0.000 0.500 0.000 (multiplicity 1)
6 Y 0.312 0.933 0.336 (multiplicity 2)
7 Y 0.500 0.500 0.500 (multiplicity 1)

***

Entry 5:
Density functional theory data (PBE) for a geometry-optimized Pm12PrY2 structure.

Calculated formation energy = 0.297 eV per atom

a = 6.539 Å, b = 6.539 Å, c = 25.547 Å
α = 90.00°, β = 90.00°, γ = 90.00°
Space group P4/nbm (No. 125, origin choice 2)
Unique sites:
1 Pm 0.067 0.567 0.117 (multiplicity 8)
2 Pm 0.082 0.582 0.438 (multiplicity 8)
3 Pm 0.250 0.250 0.217 (multiplicity 4)
4 Pm 0.250 0.250 0.339 (multiplicity 4)
5 Pr 0.250 0.750 0.000 (multiplicity 2)
6 Y 0.250 0.750 0.275 (multiplicity 4)

***

Entry 6:
Density functional theory data (PBE) for a geometry-optimized Pm2PrY6 structure.

Calculated formation energy = 0.102 eV per atom
Offset from the most stable computed form = 5 meV/atom

a = 3.515 Å, b = 10.380 Å, c = 16.507 Å
α = 90.00°, β = 90.00°, γ = 90.00°
Space group Immm (No. 71)
Unique sites:
1 Pm 0.000 0.000 0.158 (multiplicity 4)
2 Pr 0.000 0.500 0.000 (multiplicity 2)
3 Y 0.000 0.317 0.500 (multiplicity 4)
4 Y 0.000 0.333 0.177 (multiplicity 8)

***

Entry 7:
Density functional theory data (PBE) for a geometry-optimized Pm2PrY structure.

Calculated formation energy = 0.137 eV per atom
Offset from the most stable computed form = 127 meV/atom

a = 8.211 Å, b = 8.211 Å, c = 8.211 Å
α = 90.00°, β = 90.00°, γ = 90.00°
Space group Fm-3m (No. 225)
Unique sites:
1 Pm 0.250 0.250 0.250 (multiplicity 8)
2 Pr 0.000 0.000 0.000 (multiplicity 4)
3 Y 0.000 0.000 0.500 (multiplicity 4)

***

Entry 8:
Density functional theory data (PBE) for a geometry-optimized Pm6PrY6 structure.

Calculated formation energy = 0.270 eV per atom

a = 6.7916 Å, b = 6.7916 Å, c = 11.4615 Å
α = 90.00°, β = 90.00°, γ = 120.00°
Space group P6/mmm (No. 191)
Unique sites:
1 Pm 0.0000 0.0000 0.1516 (multiplicity 2)
2 Pm 0.3333 0.6667 0.0000 (multiplicity 2)
3 Pm 0.3333 0.6667 0.5000 (multiplicity 2)
4 Pr 0.0000 0.0000 0.5000 (multiplicity 1)
5 Y 0.0000 0.5000 0.2527 (multiplicity 6)

***

Entry 9:
Density functional theory data (PBE) for a geometry-optimized Pm5Pr12Y2 structure.

Calculated formation energy = 0.120 eV per atom
Offset from the most stable computed form = 0 meV/atom

a = 15.812 Å, b = 10.656 Å, c = 8.128 Å
α = 90.00°, β = 92.60°, γ = 90.00°
Space group C2/m (No. 12)
Unique sites:
1 Pm 0.000 0.000 0.000 (multiplicity 2)
2 Pm 0.153 0.500 0.586 (multiplicity 4)
3 Pm 0.243 0.000 0.982 (multiplicity 4)
4 Pr 0.052 0.500 0.210 (multiplicity 4)
5 Pr 0.106 0.275 0.889 (multiplicity 8)
6 Pr 0.139 0.000 0.610 (multiplicity 4)
7 Pr 0.189 0.227 0.294 (multiplicity 8)
8 Y 0.000 0.257 0.500 (multiplicity 4)

***

Entry 10:
Density functional theory data (PBE) for a geometry-optimized PmPr2Y4 structure.

Calculated formation energy = 0.138 eV per atom
Offset from the most stable computed form = 97 meV/atom

a = 5.720 Å, b = 9.863 Å, c = 16.881 Å
α = 90.00°, β = 90.00°, γ = 90.00°
Space group Cmcm (No. 63)
Unique sites:
1 Pm 0.000 0.002 0.250 (multiplicity 4)
2 Pr 0.000 0.335 0.057 (multiplicity 8)
3 Y 0.000 0.000 0.000 (multiplicity 4)
4 Y 0.000 0.331 0.648 (multiplicity 8)
5 Y 0.000 0.335 0.250 (multiplicity 4)

***

Entry 11:
Density functional theory data (PBE) for a geometry-optimized Pm2PrY9 structure.

Calculated formation energy = 0.022 eV per atom

a = 5.086 Å, b = 5.086 Å, c = 15.256 Å
α = 90.00°, β = 90.00°, γ = 90.00°
Space group P4/mmm (No. 123)
Unique sites:
1 Pm 0.000 0.000 0.166 (multiplicity 2)
2 Pr 0.000 0.000 0.500 (multiplicity 1)
3 Y 0.000 0.500 0.000 (multiplicity 2)
4 Y 0.000 0.500 0.332 (multiplicity 4)
5 Y 0.500 0.500 0.166 (multiplicity 2)
6 Y 0.500 0.500 0.500 (multiplicity 1)

***

Entry 12:
Density functional theory data (PBE) for a geometry-optimized Pm6Pr2Y structure.

Calculated formation energy = 0.059 eV per atom

a = 3.6631 Å, b = 3.6631 Å, c = 27.1652 Å
α = 90.00°, β = 90.00°, γ = 120.00°
Space group P-6m2 (No. 187)
Unique sites:
1 Pm 0.0000 0.0000 0.0629 (multiplicity 2)
2 Pm 0.0000 0.0000 0.2845 (multiplicity 2)
3 Pm 0.3333 0.6667 0.3929 (multiplicity 2)
4 Pr 0.3333 0.6667 0.1706 (multiplicity 2)
5 Y 0.0000 0.0000 0.5000 (multiplicity 1)